Record 1
A relaxed structure of RbCu2PdBr8, computed with PBE.

Output
- Energy: -97.83 eV/cell
- Formation energy without anion corrections: -406 meV/atom
- Volume: 32.31 A^3/atom

Cell lengths 6.3698, 6.3698, 33.1068 Å; angles 90.00, 90.00, 120.00 degrees
Last column: nearest neighbours and their distance in Å.
Space group R32 (No. 155, hexagonal axes)
One atom of each set of equivalent atoms:
1 Rb 0.0000 0.0000 0.0000 [3 per cell]  6 Br 3.77
2 Cu 0.0000 0.0000 0.2367 [6 per cell]  4 Br 2.37-2.39
3 Pd 0.0000 0.0000 0.5000 [3 per cell]  6 Br 2.62
4 Br 0.0000 0.0000 0.3083 [6 per cell]  1 Cu 2.37
5 Br 0.0109 0.3680 0.2184 [18 per cell]  1 Cu 2.39, 1 Pd 2.62



Record 2
A relaxed structure of Ba2Ac10Co3, computed with PBE.

Output
- ΔE_f: 0.02 eV/f.u.
- Energy: -264.92 eV/cell
- Volume: 40.67 A^3/atom

Cell lengths 27.9575, 8.3496, 11.2838 Å; angles 90.00, 112.13, 90.00 degrees
Last column: nearest neighbours and their distance in Å.
Space group C2/m (No. 12)
One atom of each set of equivalent atoms:
1 Ba 0.1253 0.0000 0.2362 [4 per cell]  12 Ac 4.07-4.39
2 Ba 0.2310 0.0000 0.8180 [4 per cell]  12 Ac 4.05-4.35
3 Ac 0.0000 0.2632 0.0000 [4 per cell]  2 Co 2.89
4 Ac 0.0163 0.5000 0.6910 [4 per cell]  3 Co 2.92-3.02
5 Ac 0.0170 0.0000 0.6846 [4 per cell]  2 Co 2.85
6 Ac 0.1100 0.2561 0.5464 [8 per cell]  2 Co 2.92-2.95
7 Ac 0.1290 0.5000 0.2478 [4 per cell]  2 Co 2.86-2.87
8 Ac 0.1367 0.2589 0.9428 [8 per cell]  1 Co 2.84
9 Ac 0.2323 0.5000 0.7942 [4 per cell]  1 Co 2.87
10 Ac 0.2500 0.2500 0.5000 [4 per cell]  2 Co 2.89
11 Co 0.0000 0.2479 0.5000 [4 per cell]  6 Ac 2.85-2.92
12 Co 0.0715 0.5000 0.9780 [4 per cell]  6 Ac 2.84-3.02
13 Co 0.1819 0.5000 0.5208 [4 per cell]  6 Ac 2.87-2.95



Record 3
A relaxed structure of Hf6Be15Ni8, computed with PBE.

Output
- ΔE_f: -12.05 eV/f.u.
- Energy: -695.66 eV/cell
- Volume: 11.39 A^3/atom

Cell lengths 10.9715, 10.9715, 10.9715 Å; angles 90.00, 90.00, 90.00 degrees
Last column: nearest neighbours and their distance in Å.
Space group Fm-3m (No. 225)
One atom of each set of equivalent atoms:
1 Hf 0.0000 0.0000 0.2087 [24 per cell]  4 Ni 2.66, 8 Be 2.77-2.78
2 Be 0.0000 0.0000 0.5000 [4 per cell]  8 Ni 2.35
3 Be 0.0000 0.2500 0.2500 [24 per cell]  4 Be 2.25, 4 Ni 2.38
4 Be 0.1769 0.1769 0.1769 [32 per cell]  6 Be 2.25-2.27, 3 Ni 2.34
5 Ni 0.1237 0.1237 0.3763 [32 per cell]  7 Be 2.34-2.38



Record 4
A relaxed structure of AcSm3Dy3, computed with PBE.

Output
- ΔE_f: 0.87 eV/f.u.
- Energy: -249.60 eV/cell
- ΔE to the lowest computed polymorph: 0.60 eV/f.u.
- Volume: 35.26 A^3/atom

Cell lengths 13.6822, 22.3337, 6.8551 Å; angles 90.00, 109.52, 90.00 degrees
Last column: nearest neighbours and their distance in Å.
Space group Cm (No. 8)
One atom of each set of equivalent atoms:
1 Ac 0.0000 0.0000 0.0000 [2 per cell]  3 Dy 3.60, 3 Sm 3.63-3.64, 3 Ac 3.96
2 Ac 0.0925 0.0926 0.6011 [4 per cell]  3 Sm 3.57-3.73, 4 Dy 3.75-3.94, 1 Ac 3.96
3 Ac 0.3145 0.5000 0.4165 [2 per cell]  3 Sm 3.57-3.73, 4 Dy 3.75-3.94, 1 Ac 3.96
4 Sm 0.0008 0.2631 0.2903 [4 per cell]  6 Dy 3.39-3.59, 3 Sm 3.55-3.67
5 Sm 0.0332 0.5000 0.3567 [2 per cell]  7 Dy 3.49-3.66, 1 Sm 3.56, 1 Ac 3.73
6 Sm 0.1045 0.3690 0.0261 [4 per cell]  6 Dy 3.39-3.59, 3 Sm 3.55-3.67
7 Sm 0.1402 0.1403 0.1439 [4 per cell]  5 Dy 3.38-3.61, 3 Sm 3.56-3.67, 3 Ac 3.57-3.71
8 Sm 0.2192 0.5000 0.8638 [2 per cell]  5 Dy 3.38-3.61, 3 Sm 3.56-3.67, 3 Ac 3.57-3.71
9 Sm 0.2332 0.2333 0.8231 [4 per cell]  7 Dy 3.49-3.66, 1 Sm 3.56, 1 Ac 3.73
10 Sm 0.3940 0.1320 0.5527 [4 per cell]  6 Dy 3.39-3.59, 3 Sm 3.55-3.67
11 Dy 0.1805 0.3729 0.5810 [4 per cell]  2 Dy 3.30-3.54, 6 Sm 3.38-3.59
12 Dy 0.2641 0.0000 0.3474 [2 per cell]  3 Dy 3.41-3.54, 5 Sm 3.49-3.66, 1 Ac 3.60
13 Dy 0.2676 0.2680 0.3412 [4 per cell]  3 Dy 3.30-3.41, 7 Sm 3.38-3.57
14 Dy 0.3501 0.0961 0.0273 [4 per cell]  2 Dy 3.31-3.54, 6 Sm 3.38-3.59
15 Dy 0.3677 0.3680 0.0830 [4 per cell]  3 Dy 3.41-3.54, 5 Sm 3.49-3.66, 1 Ac 3.60
16 Dy 0.4641 0.0000 0.8058 [2 per cell]  3 Dy 3.31-3.41, 7 Sm 3.38-3.57
17 Dy 0.4686 0.2769 0.7730 [4 per cell]  2 Dy 3.31-3.54, 6 Sm 3.38-3.59



Record 5
A relaxed structure of V6Tc5Ge, computed with PBE.

Output
- ΔE_f: -3.75 eV/f.u.
- Energy: -229.82 eV/cell
- Volume: 13.85 A^3/atom

Cell lengths 4.2655, 6.0964, 12.7816 Å; angles 90.00, 90.00, 90.00 degrees
Last column: nearest neighbours and their distance in Å.
Space group Immm (No. 71)
One atom of each set of equivalent atoms:
1 V 0.0000 0.2403 0.0000 [4 per cell]  6 Tc 2.59-2.62, 2 Ge 2.66
2 V 0.0000 0.2538 0.3310 [8 per cell]  7 Tc 2.59-2.64, 1 Ge 2.66
3 Tc 0.0000 0.0000 0.1684 [4 per cell]  8 V 2.59-2.61
4 Tc 0.0000 0.5000 0.1633 [4 per cell]  8 V 2.62-2.64
5 Tc 0.0000 0.5000 0.5000 [2 per cell]  8 V 2.59-2.63
6 Ge 0.0000 0.0000 0.5000 [2 per cell]  8 V 2.66



Record 6
A relaxed structure of Ca3DyNi8, computed with PBE.

Output
- ΔE_f: -3.04 eV/f.u.
- Energy: -179.69 eV/cell
- Volume: 15.45 A^3/atom

Cell lengths 5.0840, 5.0840, 24.8526 Å; angles 90.00, 90.00, 120.00 degrees
Last column: nearest neighbours and their distance in Å.
Space group R3m (No. 160, hexagonal axes)
One atom of each set of equivalent atoms:
1 Ca 0.0000 0.0000 0.0000 [3 per cell]  12 Ni 2.98-3.01, 4 Ca 3.08-3.09
2 Ca 0.0000 0.0000 0.1237 [3 per cell]  12 Ni 2.93-2.99, 1 Ca 3.08, 3 Dy 3.14
3 Ca 0.0000 0.0000 0.6280 [3 per cell]  12 Ni 2.97-3.03, 3 Ca 3.09, 1 Dy 3.14
4 Dy 0.0000 0.0000 0.5017 [3 per cell]  12 Ni 2.95-2.98, 4 Ca 3.14
5 Ni 0.0000 0.0000 0.3135 [3 per cell]  6 Ni 2.56
6 Ni 0.0000 0.0000 0.8135 [3 per cell]  6 Ni 2.51-2.52
7 Ni 0.0033 0.5017 0.0648 [9 per cell]  6 Ni 2.52-2.57
8 Ni 0.1681 0.3362 0.8953 [9 per cell]  6 Ni 2.51-2.56



Record 7
A relaxed structure of Ca2Tl2Ag, computed with PBE.

Output
- ΔE_f: -1.30 eV/f.u.
- Energy: -25.77 eV/cell
- ΔE to the lowest computed polymorph: 0.32 eV/f.u.
- Volume: 28.65 A^3/atom

Cell lengths 7.7700, 7.7700, 4.7460 Å; angles 90.00, 90.00, 90.00 degrees
Last column: nearest neighbours and their distance in Å.
Space group P4/mbm (No. 127)
One atom of each set of equivalent atoms:
1 Ca 0.1663 0.3337 0.0000 [4 per cell]  6 Tl 3.18-3.37
2 Tl 0.1406 0.6406 0.5000 [4 per cell]  2 Ag 3.00, 1 Tl 3.09, 2 Ca 3.18
3 Ag 0.0000 0.0000 0.5000 [2 per cell]  4 Tl 3.00



Record 8
A relaxed structure of AcErSn2Pd5, computed with PBE.

Output
- ΔE_f: -5.84 eV/f.u.
- Energy: -48.48 eV/cell
- Volume: 21.39 A^3/atom

Cell lengths 4.5172, 4.5172, 9.4361 Å; angles 90.00, 90.00, 90.00 degrees
Last column: nearest neighbours and their distance in Å.
Space group P4/mmm (No. 123)
One atom of each set of equivalent atoms:
1 Ac 0.0000 0.0000 0.0000 [1 per cell]  12 Pd 3.06-3.19
2 Er 0.0000 0.0000 0.5000 [1 per cell]  8 Sn 3.47, 8 Pd 3.49
3 Sn 0.5000 0.5000 0.3551 [2 per cell]  4 Pd 2.60, 1 Sn 2.73
4 Pd 0.0000 0.5000 0.2180 [4 per cell]  2 Sn 2.60
5 Pd 0.5000 0.5000 0.0000 [1 per cell]  8 Pd 3.06, 4 Ac 3.19, 2 Sn 3.35



Record 9
A relaxed structure of SmDy2Te, computed with PBE.

Output
- Energy: -19.28 eV/cell
- Formation energy without anion corrections: -553 meV/atom
- ΔE to the lowest computed polymorph: 0.43 eV/f.u.
- Volume: 29.83 A^3/atom

Cell lengths 3.8683, 3.8683, 7.9746 Å; angles 90.00, 90.00, 90.00 degrees
Last column: nearest neighbours and their distance in Å.
Space group P4/mmm (No. 123)
One atom of each set of equivalent atoms:
1 Sm 0.0000 0.0000 0.0000 [1 per cell]  8 Dy 3.53, 4 Sm 3.87
2 Dy 0.5000 0.5000 0.2790 [2 per cell]  4 Te 3.25, 1 Dy 3.53, 4 Sm 3.53
3 Te 0.0000 0.0000 0.5000 [1 per cell]  8 Dy 3.25



Record 10
A relaxed structure of LiLu2Mo, computed with PBE.

Output
- ΔE_f: 0.69 eV/f.u.
- Energy: -21.09 eV/cell
- Volume: 23.23 A^3/atom

Cell lengths 3.4243, 3.4243, 7.9247 Å; angles 90.00, 90.00, 90.00 degrees
Last column: nearest neighbours and their distance in Å.
Space group P4/mmm (No. 123)
One atom of each set of equivalent atoms:
1 Li 0.0000 0.0000 0.0000 [1 per cell]  8 Lu 3.33, 4 Li 3.42
2 Lu 0.5000 0.5000 0.2891 [2 per cell]  4 Mo 2.94
3 Mo 0.0000 0.0000 0.5000 [1 per cell]  8 Lu 2.94



Record 11
A relaxed structure of KSb2S2, computed with PBE.

Output
- Energy: -37.22 eV/cell
- Formation energy without anion corrections: -202 meV/atom
- ΔE to the lowest computed polymorph: 0.05 eV/f.u.
- Volume: 27.58 A^3/atom

Cell lengths 4.3558, 4.3558, 14.5353 Å; angles 90.00, 90.00, 90.00 degrees
Last column: nearest neighbours and their distance in Å.
Space group I4/mmm (No. 139)
One atom of each set of equivalent atoms:
1 K 0.0000 0.0000 0.0000 [2 per cell]  8 S 3.25
2 Sb 0.0000 0.5000 0.2500 [4 per cell]  4 Sb 3.08, 4 S 3.38
3 S 0.0000 0.0000 0.4280 [4 per cell]  1 S 2.09



Copy entry 3 word for word.
A relaxed structure of Hf6Be15Ni8, computed with PBE.

Output
- ΔE_f: -12.05 eV/f.u.
- Energy: -695.66 eV/cell
- Volume: 11.39 A^3/atom

Cell lengths 10.9715, 10.9715, 10.9715 Å; angles 90.00, 90.00, 90.00 degrees
Last column: nearest neighbours and their distance in Å.
Space group Fm-3m (No. 225)
One atom of each set of equivalent atoms:
1 Hf 0.0000 0.0000 0.2087 [24 per cell]  4 Ni 2.66, 8 Be 2.77-2.78
2 Be 0.0000 0.0000 0.5000 [4 per cell]  8 Ni 2.35
3 Be 0.0000 0.2500 0.2500 [24 per cell]  4 Be 2.25, 4 Ni 2.38
4 Be 0.1769 0.1769 0.1769 [32 per cell]  6 Be 2.25-2.27, 3 Ni 2.34
5 Ni 0.1237 0.1237 0.3763 [32 per cell]  7 Be 2.34-2.38



Question: Which formula does entry 9 have?
Answer: SmDy2Te



Copy entry 2 word for word.
A relaxed structure of Ba2Ac10Co3, computed with PBE.

Output
- ΔE_f: 0.02 eV/f.u.
- Energy: -264.92 eV/cell
- Volume: 40.67 A^3/atom

Cell lengths 27.9575, 8.3496, 11.2838 Å; angles 90.00, 112.13, 90.00 degrees
Last column: nearest neighbours and their distance in Å.
Space group C2/m (No. 12)
One atom of each set of equivalent atoms:
1 Ba 0.1253 0.0000 0.2362 [4 per cell]  12 Ac 4.07-4.39
2 Ba 0.2310 0.0000 0.8180 [4 per cell]  12 Ac 4.05-4.35
3 Ac 0.0000 0.2632 0.0000 [4 per cell]  2 Co 2.89
4 Ac 0.0163 0.5000 0.6910 [4 per cell]  3 Co 2.92-3.02
5 Ac 0.0170 0.0000 0.6846 [4 per cell]  2 Co 2.85
6 Ac 0.1100 0.2561 0.5464 [8 per cell]  2 Co 2.92-2.95
7 Ac 0.1290 0.5000 0.2478 [4 per cell]  2 Co 2.86-2.87
8 Ac 0.1367 0.2589 0.9428 [8 per cell]  1 Co 2.84
9 Ac 0.2323 0.5000 0.7942 [4 per cell]  1 Co 2.87
10 Ac 0.2500 0.2500 0.5000 [4 per cell]  2 Co 2.89
11 Co 0.0000 0.2479 0.5000 [4 per cell]  6 Ac 2.85-2.92
12 Co 0.0715 0.5000 0.9780 [4 per cell]  6 Ac 2.84-3.02
13 Co 0.1819 0.5000 0.5208 [4 per cell]  6 Ac 2.87-2.95